Entry 1:
VASP calculation (PBE) on TiNb2SbH after structural relaxation.

Lattice parameters (Å, degrees): 4.193 4.193 4.258 90.00 90.00 90.00
Fractional coordinates of all 5 atoms:
1 Sb 0.500 0.500 0.500
2 Nb 0.000 0.500 0.000
3 Nb 0.500 0.000 0.000
4 H 0.000 0.000 0.000
5 Ti 0.000 0.000 0.500

Results
DFT total energy	-7.407	eV/atom
magnetization	0.00	μB per formula unit
D(E_F)	2.0	states/eV/cell

Entry 2:
VASP calculation (PBE) on Ti2NbSbH after structural relaxation.

Lattice parameters (Å, degrees): 4.285 4.285 3.984 90.00 90.00 90.00
Fractional coordinates of all 5 atoms:
1 Sb 0.500 0.500 0.500
2 Nb 0.000 0.000 0.500
3 H 0.000 0.000 0.000
4 Ti 0.000 0.500 0.000
5 Ti 0.500 0.000 0.000

Results
DFT total energy	-7.065	eV/atom
magnetization	0.00	μB per formula unit
D(E_F)	4.3	states/eV/cell

Entry 3:
VASP calculation (PBE) on Ti7NbSb2H2 after structural relaxation.

Lattice parameters (Å, degrees): 3.898 3.898 12.564 81.11 81.11 89.98
Fractional coordinates of all 12 atoms:
1 Ti 0.500 0.500 0.000
2 Ti 0.295 0.295 0.414
3 Ti 0.705 0.705 0.586
4 Ti 0.906 0.406 0.190
5 Ti 0.406 0.906 0.190
6 Ti 0.594 0.094 0.810
7 Ti 0.094 0.594 0.810
8 Nb 0.000 0.000 0.000
9 Sb 0.821 0.821 0.360
10 Sb 0.179 0.179 0.640
11 H 0.581 0.581 0.837
12 H 0.419 0.419 0.163

Results
DFT total energy	-7.028	eV/atom
magnetization	0.00	μB per formula unit
D(E_F)	13.4	states/eV/cell

Entry 4:
VASP calculation (PBE) on Nb2ZnSbH after structural relaxation.

Lattice parameters (Å, degrees): 5.103 3.240 5.103 90.00 90.00 90.00
Fractional coordinates of all 5 atoms:
1 Sb 0.500 0.500 0.500
2 Nb 0.000 0.000 0.500
3 Nb 0.500 0.000 0.000
4 Zn 0.000 0.000 0.000
5 H 0.000 0.500 0.000

Results
DFT total energy	-5.104	eV/atom
magnetization	0.00	μB per formula unit
D(E_F)	5.2	states/eV/cell

Entry 5:
VASP calculation (PBE) on ZrNb2SbH after structural relaxation.

Lattice parameters (Å, degrees): 4.250 4.250 4.467 90.00 90.00 90.00
Fractional coordinates of all 5 atoms:
1 Sb 0.500 0.500 0.500
2 Nb 0.000 0.500 0.000
3 Nb 0.500 0.000 0.000
4 Zr 0.000 0.000 0.500
5 H 0.000 0.000 0.000

Results
DFT total energy	-7.540	eV/atom
magnetization	0.00	μB per formula unit
D(E_F)	2.1	states/eV/cell

Entry 6:
VASP calculation (PBE) on Sc3NbH after structural relaxation.

Lattice parameters (Å, degrees): 4.444 4.444 4.444 90.00 90.00 90.00
Fractional coordinates of all 5 atoms:
1 Sc 0.000 0.500 0.000
2 Sc 0.000 0.000 0.500
3 Sc 0.500 0.000 0.000
4 H 0.000 0.000 0.000
5 Nb 0.500 0.500 0.500

Results
DFT total energy	-6.569	eV/atom
magnetization	0.00	μB per formula unit
D(E_F)	4.6	states/eV/cell

Entry 7:
VASP calculation (PBE) on Sc2NbH2 after structural relaxation.

Lattice parameters (Å, degrees): 3.101 3.101 7.455 77.99 77.99 90.00
Fractional coordinates of all 5 atoms:
1 Sc 0.344 0.344 0.313
2 Sc 0.656 0.656 0.687
3 H 0.750 0.250 0.500
4 H 0.250 0.750 0.500
5 Nb 0.000 0.000 0.000

Results
DFT total energy	-6.169	eV/atom
magnetization	0.00	μB per formula unit
D(E_F)	2.4	states/eV/cell

Entry 8:
VASP calculation (PBE) on Sc2NbH4 after structural relaxation.

Lattice parameters (Å, degrees): 3.671 3.671 6.084 72.44 72.44 90.00
Fractional coordinates of all 7 atoms:
1 Sc 0.353 0.353 0.293
2 Sc 0.647 0.647 0.707
3 H 0.173 0.173 0.653
4 H 0.827 0.827 0.347
5 H 0.000 0.500 0.000
6 H 0.500 0.000 0.000
7 Nb 0.000 0.000 0.000

Results
DFT total energy	-5.448	eV/atom
magnetization	0.00	μB per formula unit
D(E_F)	4.6	states/eV/cell